Pr3ErMg4: relaxed, GGA-PBE.

a b c (Å): 3.8965 5.4595 10.9408
angles (deg): 90.00 90.00 90.00
Last column: nearest neighbours and their distance in Å.
Space group Pmmm (No. 47)
Unique sites:
Pr1 0.0000 0.0000 0.0000  8 Mg 3.35-3.42
Pr2 0.0000 0.5000 0.2526  8 Mg 3.33-3.38
Er1 0.0000 0.0000 0.5000  8 Mg 3.29-3.35
Mg1 0.5000 0.0000 0.2574  2 Er 3.29, 6 Pr 3.35-3.42
Mg2 0.5000 0.5000 0.0000  8 Pr 3.35-3.38
Mg3 0.5000 0.5000 0.5000  4 Pr 3.33, 4 Er 3.35

Calculated values
energy relative to the elements = -0.8 eV per formula unit
DOS(E_F) = 8.26 states/eV/f.u.
final energy = -26.084 eV per cell


SrCaMo2: relaxed, GGA-PBE.

a b c (Å): 8.4054 8.4054 5.5231
angles (deg): 90.00 90.00 90.00
Last column: nearest neighbours and their distance in Å.
Space group I-42d (No. 122)
Unique sites:
Sr1 0.0000 0.0000 0.0000  2 Ca 2.76
Ca1 0.0000 0.0000 0.5000  2 Sr 2.76, 4 Mo 2.99
Mo1 0.2396 0.2500 0.6250  2 Mo 2.77, 2 Ca 2.99

Calculated values
energy relative to the elements = 6.5 eV per formula unit
DOS(E_F) = 6.26 states/eV/f.u.
energy above the lowest structure with this stoichiometry = 4.620 eV/f.u.
final energy = -75.536 eV per cell